A PBEsol-optimized structure of MoP3C. Source: the Alexandria database, functional meta-GGA SCAN.

## Properties
The value obtained for the relative energy among the computed polymorphs is 0 meV per atom. The space group is Pm-3m, No. 221. As for the formation energy: 1.1439 eV per atom. For the density of states at the Fermi level, the calculation gives 3.5 states/eV/cell.

a = 3.930 Å, b = 3.930 Å, c = 3.930 Å
α = 90.00°, β = 90.00°, γ = 90.00°
Positions (direct):
P1 0.500 0.000 0.000
P2 0.000 0.500 0.000
P3 0.000 0.000 0.500
C1 0.000 0.000 0.000
Mo1 0.500 0.500 0.500